# 1
LiPmMgZn after structural relaxation, computed with PBE-GGA.

a = 6.9624 Å, b = 6.9624 Å, c = 6.9624 Å
α = 90.00°, β = 90.00°, γ = 90.00°
With the nearest neighbours (Å) after each atom.
Fractional coordinates of all 16 atoms:
Li1 0.0000 0.0000 0.0000  4 Mg 3.01, 4 Pm 3.01
Li2 0.0000 0.5000 0.5000  4 Pm 3.01, 4 Mg 3.01
Li3 0.5000 0.0000 0.5000  4 Pm 3.01, 4 Mg 3.01
Li4 0.5000 0.5000 0.0000  4 Pm 3.01, 4 Mg 3.01
Pm1 0.2500 0.2500 0.7500  4 Li 3.01, 4 Zn 3.01
Pm2 0.2500 0.7500 0.2500  4 Li 3.01, 4 Zn 3.01
Pm3 0.7500 0.2500 0.2500  4 Li 3.01, 4 Zn 3.01
Pm4 0.7500 0.7500 0.7500  4 Li 3.01, 4 Zn 3.01
Mg1 0.2500 0.2500 0.2500  4 Li 3.01, 4 Zn 3.01
Mg2 0.2500 0.7500 0.7500  4 Li 3.01, 4 Zn 3.01
Mg3 0.7500 0.2500 0.7500  4 Li 3.01, 4 Zn 3.01
Mg4 0.7500 0.7500 0.2500  4 Li 3.01, 4 Zn 3.01
Zn1 0.0000 0.0000 0.5000  4 Mg 3.01, 4 Pm 3.01
Zn2 0.0000 0.5000 0.0000  4 Mg 3.01, 4 Pm 3.01
Zn3 0.5000 0.0000 0.0000  4 Mg 3.01, 4 Pm 3.01
Zn4 0.5000 0.5000 0.5000  4 Mg 3.01, 4 Pm 3.01

Summary:
The calculation puts the calculated density at 4.8 g/cm3. The total energy comes out at -41.42 eV for the cell shown. For the calculated volume, the calculation gives 21.094 A^3/atom.

***

# 2
LiPrMg after structural relaxation, computed with PBE-GGA.

a = 7.3588 Å, b = 7.3588 Å, c = 7.3588 Å
α = 90.00°, β = 90.00°, γ = 90.00°
With the nearest neighbours (Å) after each atom.
Fractional coordinates of all 12 atoms:
Li1 0.0000 0.0000 0.0000  4 Pr 3.19
Li2 0.0000 0.5000 0.5000  4 Pr 3.19
Li3 0.5000 0.0000 0.5000  4 Pr 3.19
Li4 0.5000 0.5000 0.0000  4 Pr 3.19
Pr1 0.2500 0.2500 0.2500  4 Li 3.19, 4 Mg 3.19
Pr2 0.2500 0.7500 0.7500  4 Li 3.19, 4 Mg 3.19
Pr3 0.7500 0.2500 0.7500  4 Li 3.19, 4 Mg 3.19
Pr4 0.7500 0.7500 0.2500  4 Li 3.19, 4 Mg 3.19
Mg1 0.0000 0.0000 0.5000  4 Pr 3.19
Mg2 0.0000 0.5000 0.0000  4 Pr 3.19
Mg3 0.5000 0.0000 0.0000  4 Pr 3.19
Mg4 0.5000 0.5000 0.5000  4 Pr 3.19

Summary:
For the energy above the most stable polymorph in this dataset, the calculation gives 0.312 eV/atom. The calculation puts the calculated density at 2.9 g/cm3. For the calculated volume, the calculation gives 33.207 A^3/atom.

***

> Which value of calculated density does entry 2 give?

2.9 g/cm3